(1)
Material: GdTlSbAu
Method: DFT, PBE-GGA
State: relaxed

Geometry as POSCAR:
```
GdTlSbAu
1.0
5.311 0.000 0.000
2.656 4.599 0.000
2.656 1.533 4.336
Sb Gd Tl Au
1 1 1 1
Direct
0.500 0.500 0.500
0.750 0.750 0.750
0.250 0.250 0.250
0.000 0.000 0.000
```

Space group ... F-43m, No. 216
Raw total energy ... -6.38 eV/atom


(2)
Material: NaLa2PdO6
Method: DFT, PBE-GGA
State: relaxed

Geometry as POSCAR:
```
NaLa2PdO6
1.0
-4.027 -2.615 -2.929
1.089 -5.105 3.059
-5.479 2.133 5.510
O La Pd Na
12 4 2 2
Direct
0.796 0.826 0.552
0.204 0.174 0.448
0.113 0.453 0.766
0.335 0.715 0.437
0.165 0.215 0.063
0.387 0.953 0.734
0.887 0.547 0.234
0.704 0.326 0.948
0.665 0.285 0.563
0.613 0.047 0.266
0.296 0.674 0.052
0.835 0.785 0.937
0.518 0.573 0.752
0.482 0.427 0.248
0.982 0.073 0.748
0.018 0.927 0.252
0.500 0.000 0.500
0.000 0.500 0.000
0.000 0.500 0.500
0.500 0.000 0.000
```

Space group ... P2_1/c, No. 14
Raw total energy ... -6.70 eV/atom


(3)
Material: NaYGe3
Method: DFT, PBE-GGA
State: relaxed

Geometry as POSCAR:
```
NaYGe3
1.0
-1.766 0.954 -4.511
-4.570 0.279 1.848
0.612 4.837 0.783
Y Na Ge
1 1 3
Direct
0.500 0.500 0.500
0.000 0.000 0.000
0.000 0.500 0.000
0.000 0.000 0.500
0.500 0.000 0.000
```

Space group ... Pm-3m, No. 221
E above lowest polymorph ... 84.1 meV per atom
Energy relative to the elements ... 468 meV per atom


(4)
Material: In3CuCl
Method: DFT, PBE-GGA
State: relaxed

Geometry as POSCAR:
```
In3CuCl
1.0
5.692 0.000 0.000
0.000 5.692 0.000
0.000 0.000 5.692
Cl Cu In
1 1 3
Direct
0.000 0.000 0.000
0.500 0.500 0.500
0.000 0.500 0.000
0.000 0.000 0.500
0.500 0.000 0.000
```

Space group ... Pm-3m, No. 221
E above lowest polymorph ... 624.9 meV per atom


(5)
Material: ThGa2Ni3
Method: DFT, PBE-GGA
State: relaxed

Geometry as POSCAR:
```
ThGa2Ni3
1.0
-1.809 0.690 -4.839
3.586 -4.528 -1.986
-5.071 -3.076 1.457
Ga Ni Th
4 6 2
Direct
0.000 0.782 0.218
0.000 0.218 0.782
0.500 0.218 0.782
0.500 0.782 0.218
0.750 0.443 0.126
0.750 0.126 0.443
0.750 0.044 0.044
0.250 0.874 0.557
0.250 0.557 0.874
0.250 0.956 0.956
0.750 0.693 0.693
0.250 0.307 0.307
```

Space group ... Cmcm, No. 63
Energy relative to the elements ... -507 meV per atom


(6)
Material: Hf3Ta
Method: DFT, PBE-GGA
State: relaxed

Geometry as POSCAR:
```
Hf3Ta
1.0
4.399 0.000 0.000
0.000 4.399 0.000
0.000 0.000 4.399
Ta Hf
1 3
Direct
0.000 0.000 0.000
0.000 0.500 0.500
0.500 0.500 0.000
0.500 0.000 0.500
```

Space group ... Pm-3m, No. 221
E above lowest polymorph ... 31.8 meV per atom
Energy relative to the elements ... 149 meV per atom


(7)
Material: PrNdHoAg
Method: DFT, PBE-GGA
State: relaxed

Geometry as POSCAR:
```
PrNdHoAg
1.0
3.679 0.000 0.000
0.000 3.679 0.000
0.000 0.000 8.874
Ag Ho Pr Nd
1 1 1 1
Direct
0.000 0.000 0.555
0.500 0.500 0.367
0.000 0.000 0.080
0.500 0.500 0.783
```

Space group ... P4mm, No. 99
E above lowest polymorph ... 0.0 meV per atom
Energy relative to the elements ... -123 meV per atom


(8)
Material: Ba2Au
Method: DFT, PBE-GGA
State: relaxed

Geometry as POSCAR:
```
Ba2Au
1.0
15.964 0.003 0.007
14.919 5.666 0.008
-15.440 -2.835 2.872
Au Ba
2 4
Direct
0.125 0.375 0.750
0.875 0.625 0.250
0.315 0.064 0.250
0.685 0.936 0.750
0.435 0.186 0.249
0.565 0.814 0.751
```

Space group ... C2/m, No. 12
Energy relative to the elements ... -457 meV per atom


(9)
Material: VSbRhI2
Method: DFT, PBE-GGA
State: relaxed

Geometry as POSCAR:
```
VSbRhI2
1.0
-1.474 -3.311 -4.176
-2.984 -3.076 3.493
-3.986 2.875 -0.874
Sb I V Rh
1 2 1 1
Direct
0.000 0.000 0.500
0.000 0.500 0.000
0.500 0.000 0.000
0.500 0.500 0.500
0.000 0.000 0.000
```

Space group ... P4/mmm, No. 123
E above lowest polymorph ... 0.0 meV per atom


(10)
Material: MgOsO2
Method: DFT, PBE-GGA
State: relaxed

Geometry as POSCAR:
```
MgOsO2
1.0
1.636 0.000 6.172
-0.818 1.417 6.172
-0.818 -1.417 6.172
Mg O Os
1 2 1
Direct
0.500 0.500 0.500
0.897 0.897 0.897
0.103 0.103 0.103
0.000 0.000 0.000
```

Space group ... R-3m, No. 166
Raw total energy ... -7.14 eV/atom


(11)
Material: CrAgTe2
Method: DFT, PBE-GGA
State: relaxed

Geometry as POSCAR:
```
CrAgTe2
1.0
3.502 0.000 0.000
0.000 3.502 0.000
0.000 0.000 7.266
Te Cr Ag
2 1 1
Direct
0.000 0.000 0.527
0.000 0.000 0.973
0.500 0.500 0.750
0.500 0.500 0.250
```

Space group ... P4/mmm, No. 123
Raw total energy ... -4.47 eV/atom


(12)
Material: LiScAs2P
Method: DFT, PBE-GGA
State: relaxed

Geometry as POSCAR:
```
LiScAs2P
1.0
-4.489 -1.990 -0.860
2.081 -4.877 0.423
-0.947 0.021 4.894
P As Sc Li
1 2 1 1
Direct
0.500 0.500 0.500
0.500 0.000 0.000
0.000 0.000 0.500
0.000 0.000 0.000
0.000 0.500 0.000
```

Space group ... P4/mmm, No. 123
Energy relative to the elements ... 665 meV per atom


(13)
Material: MgSn2B
Method: DFT, PBE-GGA
State: relaxed

Geometry as POSCAR:
```
MgSn2B
1.0
0.000 3.462 3.462
3.462 0.000 3.462
3.462 3.462 0.000
B Mg Sn
1 1 2
Direct
0.000 0.000 0.000
0.500 0.500 0.500
0.750 0.750 0.750
0.250 0.250 0.250
```

Space group ... Fm-3m, No. 225
E above lowest polymorph ... 320.1 meV per atom
Energy relative to the elements ... 803 meV per atom


(14)
Material: Mn4MoOs
Method: DFT, PBE-GGA
State: relaxed

Geometry as POSCAR:
```
Mn4MoOs
1.0
-2.574 -1.239 3.709
-1.409 -4.437 0.494
1.863 -2.688 3.350
Mo Os Mn
1 1 4
Direct
0.250 0.250 0.250
0.000 0.000 0.000
0.626 0.121 0.626
0.626 0.626 0.626
0.626 0.626 0.121
0.121 0.626 0.626
```

Space group ... F-43m, No. 216
Energy relative to the elements ... -50 meV per atom


(15)
Material: SrAl2Ni
Method: DFT, PBE-GGA
State: relaxed

Geometry as POSCAR:
```
SrAl2Ni
1.0
5.632 -0.014 0.000
-2.858 4.852 0.000
0.000 0.000 2.992
Ni Al Sr
1 2 1
Direct
0.500 0.000 0.500
0.500 0.500 0.000
0.000 0.000 0.000
0.000 0.500 0.500
```

Space group ... Cmmm, No. 65
Energy relative to the elements ... 326 meV per atom


(16)
Material: IrPtSe2
Method: DFT, PBE-GGA
State: relaxed

Geometry as POSCAR:
```
IrPtSe2
1.0
-3.528 -3.592 -1.377
-2.471 -2.445 3.894
1.044 4.950 -1.286
Se Pt Ir
2 1 1
Direct
0.250 0.750 0.500
0.000 0.000 0.000
0.750 0.250 0.500
0.500 0.500 0.000
```

Space group ... I-4m2, No. 119
Raw total energy ... -4.96 eV/atom


(17)
Material: YRu2Cl
Method: DFT, PBE-GGA
State: relaxed

Geometry as POSCAR:
```
YRu2Cl
1.0
-2.839 1.915 -4.452
-1.424 -3.317 -0.519
-2.806 0.867 2.162
Ru Y Cl
2 1 1
Direct
0.000 0.500 0.500
0.000 0.000 0.000
0.500 0.500 0.000
0.500 0.000 0.500
```

Space group ... P4/mmm, No. 123
E above lowest polymorph ... 321.8 meV per atom


(18)
Material: SmHo2Sc4
Method: DFT, PBE-GGA
State: relaxed

Geometry as POSCAR:
```
SmHo2Sc4
1.0
7.120 1.931 -1.739
-2.540 8.537 -0.759
-0.316 0.408 5.854
Ho Sc Sm
4 8 2
Direct
0.910 0.379 0.966
0.132 0.308 0.537
0.417 0.873 0.965
0.691 0.449 0.394
0.346 0.236 0.105
0.838 0.729 0.108
0.270 0.590 0.250
0.626 0.800 0.535
0.553 0.162 0.678
0.481 0.520 0.823
0.054 0.659 0.680
0.760 0.089 0.251
0.974 0.015 0.819
0.197 0.942 0.390
```

Space group ... P1, No. 1
E above lowest polymorph ... 0.0 meV per atom
Energy relative to the elements ... 58 meV per atom


(19)
Material: Y8GeTe3As3
Method: DFT, PBE-GGA
State: relaxed

Geometry as POSCAR:
```
Y8GeTe3As3
1.0
-1.750 -8.182 0.396
2.323 4.125 6.910
-7.676 1.479 -3.379
Y As Te Ge
8 3 3 1
Direct
0.260 0.018 0.277
0.758 0.018 0.277
0.739 0.478 0.718
0.242 0.982 0.723
0.261 0.522 0.282
0.758 0.517 0.277
0.242 0.483 0.723
0.740 0.982 0.723
0.000 0.500 0.500
0.500 0.000 0.500
0.500 0.500 0.500
0.000 0.500 0.000
0.500 0.500 0.000
0.000 0.000 0.000
0.000 0.000 0.500
```

Space group ... R-3m, No. 166
Raw total energy ... -6.62 eV/atom


(20)
Material: ScCrSnBi2
Method: DFT, PBE-GGA
State: relaxed

Geometry as POSCAR:
```
ScCrSnBi2
1.0
-3.032 0.742 -4.827
0.113 -5.254 -0.879
-4.882 -0.602 2.974
Cr Bi Sc Sn
1 2 1 1
Direct
0.500 0.500 0.500
0.500 0.000 0.000
0.000 0.000 0.500
0.000 0.500 0.000
0.000 0.000 0.000
```

Space group ... P4/mmm, No. 123
E above lowest polymorph ... 765.3 meV per atom
Energy relative to the elements ... 1448 meV per atom